(1)
This record from OQMD describes crystalline Nb2InSe4Br at its relaxed geometry. The functional is PBE.

Summary:
Raw total energy, eV per atom: -5.419

Cell: 10.058 10.058 13.327 Å, 117.75 117.75 20.46°
Fractional coordinates of all 16 atoms:
Nb1 0.100 0.100 0.338
Nb2 0.296 0.296 0.467
Nb3 0.704 0.704 0.533
Nb4 0.900 0.900 0.662
In1 0.338 0.338 0.039
In2 0.662 0.662 0.961
Se1 0.107 0.107 0.533
Se2 0.198 0.198 0.848
Se3 0.307 0.307 0.682
Se4 0.493 0.493 0.260
Se5 0.507 0.507 0.740
Se6 0.693 0.693 0.318
Se7 0.802 0.802 0.152
Se8 0.893 0.893 0.467
Br1 0.098 0.098 0.048
Br2 0.902 0.902 0.952

=====

(2)
This record from OQMD describes crystalline Nd2InBrO6 at its relaxed geometry. The functional is PBE.

Summary:
Raw total energy, eV per atom: -5.631

Cell: 5.858 5.858 5.858 Å, 60.00 60.00 60.00°
Fractional coordinates of all 10 atoms:
Nd1 0.250 0.250 0.250
Nd2 0.750 0.750 0.750
In1 0.000 0.000 0.000
Br1 0.500 0.500 0.500
O1 0.251 0.251 0.749
O2 0.251 0.749 0.251
O3 0.251 0.749 0.749
O4 0.749 0.251 0.251
O5 0.749 0.251 0.749
O6 0.749 0.749 0.251

=====

(3)
This record from OQMD describes crystalline Pr2NdInBr3 at its relaxed geometry. The functional is PBE.

Summary:
Raw total energy, eV per atom: -4.385

Cell: 6.151 6.151 6.144 Å, 90.00 90.00 90.00°
Fractional coordinates of all 7 atoms:
Pr1 0.000 0.500 0.000
Pr2 0.500 0.000 0.000
Nd1 0.000 0.000 0.500
In1 0.000 0.000 0.000
Br1 0.000 0.500 0.500
Br2 0.500 0.000 0.500
Br3 0.500 0.500 0.000

=====

(4)
This record from OQMD describes crystalline PrNd2InBr3 at its relaxed geometry. The functional is PBE.

Summary:
Raw total energy, eV per atom: -4.379

Cell: 6.131 6.131 6.138 Å, 90.00 90.00 90.00°
Fractional coordinates of all 7 atoms:
Pr1 0.000 0.000 0.000
Nd1 0.000 0.500 0.500
Nd2 0.500 0.000 0.500
In1 0.000 0.000 0.500
Br1 0.000 0.500 0.000
Br2 0.500 0.000 0.000
Br3 0.500 0.500 0.500

=====

(5)
This record from OQMD describes crystalline Tl2InNiBr6 at its relaxed geometry. The functional is PBE.

Summary:
Raw total energy, eV per atom: -2.944

Cell: 7.554 7.554 7.554 Å, 60.00 60.00 60.00°
Fractional coordinates of all 10 atoms:
Tl1 0.250 0.250 0.250
Tl2 0.750 0.750 0.750
In1 0.000 0.000 0.000
Ni1 0.500 0.500 0.500
Br1 0.261 0.261 0.739
Br2 0.261 0.739 0.261
Br3 0.261 0.739 0.739
Br4 0.739 0.261 0.261
Br5 0.739 0.261 0.739
Br6 0.739 0.739 0.261

=====

(6)
This record from OQMD describes crystalline InOsBr4O at its relaxed geometry. The functional is PBE.

Summary:
Raw total energy, eV per atom: -4.183

Cell: 6.876 6.876 7.468 Å, 106.56 106.56 31.62°
Fractional coordinates of all 7 atoms:
In1 0.000 0.000 0.000
Os1 0.501 0.499 0.500
Br1 0.361 0.360 0.184
Br2 0.366 0.366 0.679
Br3 0.634 0.634 0.321
Br4 0.640 0.639 0.816
O1 0.002 0.998 0.500

=====

Number 2 is which compound? Nd2InBrO6

=====

Among the records above, which one has the lowest raw total energy? Nd2InBrO6

=====

What did the first record say?
This record from OQMD describes crystalline Nb2InSe4Br at its relaxed geometry. The functional is PBE.

Summary:
Raw total energy, eV per atom: -5.419

Cell: 10.058 10.058 13.327 Å, 117.75 117.75 20.46°
Fractional coordinates of all 16 atoms:
Nb1 0.100 0.100 0.338
Nb2 0.296 0.296 0.467
Nb3 0.704 0.704 0.533
Nb4 0.900 0.900 0.662
In1 0.338 0.338 0.039
In2 0.662 0.662 0.961
Se1 0.107 0.107 0.533
Se2 0.198 0.198 0.848
Se3 0.307 0.307 0.682
Se4 0.493 0.493 0.260
Se5 0.507 0.507 0.740
Se6 0.693 0.693 0.318
Se7 0.802 0.802 0.152
Se8 0.893 0.893 0.467
Br1 0.098 0.098 0.048
Br2 0.902 0.902 0.952

=====

Which of these has the highest raw total energy? Tl2InNiBr6